No. 1
Entry from the Alexandria database: a relaxed GaSb2RhAu crystal (PBE-GGA).

Computed properties:
DFT total energy: -3.546 eV/atom
formation energy (no corrections): 0.834 eV/atom
density of states at the Fermi level: 1.116 states/eV per atom
size of the total moment: 0.000 μB per cell

a = 5.244 Å, b = 5.244 Å, c = 5.164 Å
α = 90.00°, β = 90.00°, γ = 90.00°
Fractional positions:
Rh (0.000, 0.000, 0.500)
Ga (0.500, 0.500, 0.500)
Au (0.000, 0.000, 0.000)
Sb (0.500, 0.000, 0.000)
Sb (0.000, 0.500, 0.000)

***

No. 2
Entry from the Alexandria database: a relaxed NbPbSeBr2 crystal (PBE-GGA).

Computed properties:
DFT total energy: -4.316 eV/atom
formation energy (no corrections): -0.195 eV/atom
density of states at the Fermi level: 1.192 states/eV per atom
size of the total moment: 1.691 μB per cell

a = 5.240 Å, b = 5.240 Å, c = 5.069 Å
α = 90.00°, β = 90.00°, γ = 90.00°
Each line ends with the local moment (μB).
Fractional positions:
Nb (0.000, 0.000, 0.000)  1.15
Br (0.500, 0.000, 0.000)  0.03
Pb (0.500, 0.500, 0.500)  0.12
Br (0.000, 0.500, 0.000)  0.03
Se (0.000, 0.000, 0.500)  -0.03

***

No. 3
Entry from the Alexandria database: a relaxed Er2In5Hg12 crystal (PBE-GGA).

Computed properties:
DFT total energy: -1.496 eV/atom
density of states at the Fermi level: 0.411 states/eV per atom
size of the total moment: 0.000 μB per cell

a = 11.303 Å, b = 11.303 Å, c = 5.039 Å
α = 76.83°, β = 76.83°, γ = 51.90°
Fractional positions:
Hg (0.420, 0.420, 0.082)
Hg (0.580, 0.580, 0.918)
In (0.000, 0.000, 0.500)
Hg (0.890, 0.890, 0.112)
Er (0.218, 0.782, 0.000)
Hg (0.543, 0.071, 0.196)
Hg (0.929, 0.457, 0.804)
Hg (0.071, 0.543, 0.196)
In (0.700, 0.700, 0.301)
Hg (0.110, 0.110, 0.888)
In (0.798, 0.798, 0.703)
In (0.202, 0.202, 0.297)
Er (0.782, 0.218, 0.000)
Hg (0.192, 0.630, 0.591)
Hg (0.630, 0.192, 0.591)
Hg (0.457, 0.929, 0.804)
In (0.300, 0.300, 0.699)
Hg (0.808, 0.370, 0.409)
Hg (0.370, 0.808, 0.409)

***

No. 4
Entry from the Alexandria database: a relaxed SrLiNi crystal (PBE-GGA).

Computed properties:
DFT total energy: -3.121 eV/atom
density of states at the Fermi level: 0.770 states/eV per atom
size of the total moment: 0.000 μB per cell

a = 4.122 Å, b = 4.342 Å, c = 8.874 Å
α = 104.16°, β = 90.00°, γ = 90.00°
Fractional positions:
Li (0.250, 0.698, 0.396)
Sr (0.250, 0.906, 0.812)
Ni (0.250, 0.530, 0.061)
Li (0.750, 0.302, 0.604)
Ni (0.750, 0.470, 0.939)
Sr (0.750, 0.094, 0.188)

***

No. 5
Entry from the Alexandria database: a relaxed PaZnCoH6 crystal (PBE-GGA).

Computed properties:
DFT total energy: -4.363 eV/atom
density of states at the Fermi level: 0.411 states/eV per atom
size of the total moment: 0.000 μB per cell

a = 4.308 Å, b = 4.308 Å, c = 4.290 Å
α = 90.00°, β = 90.00°, γ = 60.00°
Fractional positions:
H (0.486, 0.487, 0.789)
H (0.027, 0.486, 0.789)
Co (0.333, 0.333, 0.500)
Zn (0.667, 0.667, 0.500)
H (0.486, 0.486, 0.211)
Pa (0.000, 0.000, 0.000)
H (0.027, 0.486, 0.211)
H (0.486, 0.027, 0.211)
H (0.486, 0.027, 0.789)

***

No. 6
Entry from the Alexandria database: a relaxed Li2Ni5P3 crystal (PBE-GGA).

Computed properties:
DFT total energy: -5.454 eV/atom
density of states at the Fermi level: 0.470 states/eV per atom
size of the total moment: 0.000 μB per cell

a = 3.680 Å, b = 6.002 Å, c = 10.940 Å
α = 90.00°, β = 99.68°, γ = 90.00°
Fractional positions:
Ni (0.126, 0.244, 0.252)
Li (0.175, 0.731, 0.350)
Ni (0.708, 0.436, 0.416)
Ni (0.874, 0.744, 0.748)
Li (0.521, 0.253, 0.042)
P (0.047, 0.978, 0.094)
P (0.391, 0.004, 0.783)
Ni (0.292, 0.936, 0.584)
P (0.231, 0.227, 0.462)
P (0.953, 0.478, 0.906)
Ni (0.407, 0.373, 0.815)
Ni (0.710, 0.024, 0.419)
Ni (0.593, 0.873, 0.185)
P (0.609, 0.504, 0.217)
Li (0.825, 0.231, 0.650)
Ni (0.290, 0.524, 0.581)
Li (0.479, 0.753, 0.958)
Ni (0.055, 0.596, 0.111)
P (0.769, 0.727, 0.538)
Ni (0.945, 0.096, 0.889)

***

No. 7
Entry from the Alexandria database: a relaxed Th8ReSb2 crystal (PBE-GGA).

Computed properties:
DFT total energy: -7.442 eV/atom
formation energy (no corrections): -0.164 eV/atom
density of states at the Fermi level: 1.237 states/eV per atom
size of the total moment: 0.002 μB per cell

a = 5.502 Å, b = 6.863 Å, c = 9.932 Å
α = 111.92°, β = 106.08°, γ = 90.00°
Fractional positions:
Th (0.004, 0.769, 0.007)
Th (0.221, 0.322, 0.443)
Th (0.356, 0.021, 0.712)
Th (0.996, 0.231, 0.993)
Re (0.500, 0.000, 0.000)
Th (0.779, 0.678, 0.557)
Th (0.591, 0.436, 0.183)
Th (0.409, 0.564, 0.817)
Th (0.644, 0.979, 0.288)
Sb (0.171, 0.730, 0.341)
Sb (0.829, 0.270, 0.659)

***

No. 8
Entry from the Alexandria database: a relaxed Mg3In4Pb3 crystal (PBE-GGA).

Computed properties:
DFT total energy: -2.684 eV/atom
density of states at the Fermi level: 0.503 states/eV per atom
size of the total moment: 0.000 μB per cell

a = 3.294 Å, b = 9.102 Å, c = 9.102 Å
α = 97.13°, β = 90.00°, γ = 90.00°
Fractional positions:
Pb (0.500, 0.167, 0.833)
In (0.000, 0.636, 0.364)
In (0.000, 0.848, 0.892)
Mg (0.500, 0.351, 0.316)
Mg (0.500, 0.684, 0.649)
Pb (0.000, 0.000, 0.498)
Mg (0.500, 0.821, 0.179)
Pb (0.000, 0.502, 0.000)
In (0.000, 0.108, 0.152)
In (0.000, 0.383, 0.617)

***

No. 9
Entry from the Alexandria database: a relaxed SrSn2Hg crystal (PBE-GGA).

Computed properties:
DFT total energy: -2.736 eV/atom
density of states at the Fermi level: 0.900 states/eV per atom
size of the total moment: 0.000 μB per cell

a = 5.173 Å, b = 5.173 Å, c = 6.254 Å
α = 65.57°, β = 65.57°, γ = 60.00°
Fractional positions:
Sn (0.212, 0.212, 0.364)
Sr (0.000, 0.000, 0.000)
Sn (0.788, 0.788, 0.636)
Hg (0.500, 0.500, 0.500)

***

No. 10
Entry from the Alexandria database: a relaxed ReTc2W crystal (PBE-GGA).

Computed properties:
DFT total energy: -11.416 eV/atom
density of states at the Fermi level: 0.801 states/eV per atom
size of the total moment: 0.000 μB per cell

a = 2.777 Å, b = 3.922 Å, c = 5.565 Å
α = 90.00°, β = 90.00°, γ = 90.00°
Fractional positions:
Tc (0.000, 0.000, 0.506)
Tc (0.000, 0.000, 0.994)
W (0.500, 0.500, 0.250)
Re (0.500, 0.500, 0.750)

***

No. 11
Entry from the Alexandria database: a relaxed LiAgAu2 crystal (PBE-GGA).

Computed properties:
DFT total energy: -3.140 eV/atom
density of states at the Fermi level: 0.270 states/eV per atom
size of the total moment: 0.000 μB per cell

a = 5.025 Å, b = 5.025 Å, c = 5.025 Å
α = 132.45°, β = 132.22°, γ = 69.70°
Fractional positions:
Li (0.500, 0.500, 0.000)
Ag (0.250, 0.750, 0.500)
Au (0.749, 0.249, 0.500)
Au (0.000, 0.000, 0.000)

***

No. 12
Entry from the Alexandria database: a relaxed Tb2PaAg crystal (PBE-GGA).

Computed properties:
DFT total energy: -5.436 eV/atom
density of states at the Fermi level: 1.306 states/eV per atom
size of the total moment: 0.000 μB per cell

a = 3.470 Å, b = 3.470 Å, c = 8.616 Å
α = 90.00°, β = 90.00°, γ = 90.00°
Fractional positions:
Ag (0.500, 0.500, 0.000)
Tb (0.000, 0.000, 0.769)
Tb (0.000, 0.000, 0.231)
Pa (0.500, 0.500, 0.500)

***

No. 13
Entry from the Alexandria database: a relaxed La2TeIN crystal (PBE-GGA).

Computed properties:
DFT total energy: -3.565 eV/atom
formation energy (no corrections): 1.010 eV/atom
density of states at the Fermi level: 1.589 states/eV per atom
size of the total moment: 1.215 μB per cell

a = 5.963 Å, b = 5.909 Å, c = 5.963 Å
α = 90.00°, β = 90.00°, γ = 90.00°
Each line ends with the local moment (μB).
Fractional positions:
I (0.000, 0.000, 0.000)  0.00
N (0.500, 0.500, 0.500)  1.31
Te (0.000, 0.500, 0.000)  0.04
La (0.000, 0.000, 0.500)  -0.16
La (0.500, 0.000, 0.000)  -0.12

***

No. 14
Entry from the Alexandria database: a relaxed Ru2Pb crystal (PBE-GGA).

Computed properties:
DFT total energy: -6.766 eV/atom
density of states at the Fermi level: 1.406 states/eV per atom
size of the total moment: 1.915 μB per cell

a = 4.672 Å, b = 4.672 Å, c = 5.452 Å
α = 90.00°, β = 90.00°, γ = 120.00°
Each line ends with the local moment (μB).
Fractional positions:
Ru (0.000, 0.000, 0.000)  0.81
Ru (0.667, 0.333, 0.250)  0.12
Pb (0.667, 0.333, 0.750)  0.00
Ru (0.000, 0.000, 0.500)  0.81
Ru (0.333, 0.667, 0.750)  0.12
Pb (0.333, 0.667, 0.250)  0.00

***

No. 15
Entry from the Alexandria database: a relaxed In2CoRu crystal (PBE-GGA).

Computed properties:
DFT total energy: -5.244 eV/atom
density of states at the Fermi level: 1.186 states/eV per atom
size of the total moment: 2.103 μB per cell

a = 3.033 Å, b = 3.033 Å, c = 7.740 Å
α = 90.00°, β = 90.00°, γ = 90.00°
Each line ends with the local moment (μB).
Fractional positions:
In (0.500, 0.500, 0.300)  -0.02
In (0.000, 0.000, 0.943)  0.00
Ru (0.000, 0.000, 0.541)  0.66
Co (0.500, 0.500, 0.716)  1.46

***

No. 16
Entry from the Alexandria database: a relaxed Nd2YAl2Zn2 crystal (PBE-GGA).

Computed properties:
DFT total energy: -4.042 eV/atom
density of states at the Fermi level: 0.636 states/eV per atom
size of the total moment: 0.000 μB per cell

a = 4.525 Å, b = 4.525 Å, c = 9.777 Å
α = 76.62°, β = 76.62°, γ = 60.00°
Fractional positions:
Nd (0.874, 0.874, 0.379)
Nd (0.126, 0.126, 0.621)
Zn (0.393, 0.393, 0.821)
Y (0.000, 0.000, 0.000)
Al (0.731, 0.731, 0.807)
Al (0.269, 0.269, 0.193)
Zn (0.607, 0.607, 0.179)

***

No. 17
Entry from the Alexandria database: a relaxed Cs3Cu2Br8 crystal (PBE-GGA).

Computed properties:
DFT total energy: -2.801 eV/atom
formation energy (no corrections): -0.945 eV/atom
density of states at the Fermi level: 1.068 states/eV per atom
size of the total moment: 2.758 μB per cell

a = 7.424 Å, b = 7.424 Å, c = 11.296 Å
α = 70.82°, β = 70.82°, γ = 60.00°
Each line ends with the local moment (μB).
Fractional positions:
Br (0.266, 0.776, 0.692)  0.18
Cs (0.211, 0.211, 0.367)  0.00
Br (0.671, 0.671, 0.988)  0.13
Cs (0.789, 0.789, 0.633)  0.00
Cu (0.595, 0.595, 0.214)  0.48
Br (0.224, 0.734, 0.308)  0.18
Cu (0.405, 0.405, 0.786)  0.48
Cs (0.000, 0.000, 0.000)  0.00
Br (0.734, 0.224, 0.308)  0.18
Br (0.776, 0.266, 0.692)  0.18
Br (0.734, 0.734, 0.308)  0.18
Br (0.329, 0.329, 0.012)  0.13
Br (0.266, 0.266, 0.692)  0.18

***

No. 18
Entry from the Alexandria database: a relaxed HoPuCl2 crystal (PBE-GGA).

Computed properties:
DFT total energy: -6.786 eV/atom
formation energy (no corrections): -1.135 eV/atom
density of states at the Fermi level: 2.352 states/eV per atom
size of the total moment: 6.543 μB per cell

a = 3.464 Å, b = 3.464 Å, c = 9.938 Å
α = 79.96°, β = 79.96°, γ = 60.00°
Each line ends with the local moment (μB).
Fractional positions:
Cl (0.100, 0.100, 0.701)  -0.01
Ho (0.500, 0.500, 0.500)  0.04
Pu (0.000, 0.000, 0.000)  5.85
Cl (0.900, 0.900, 0.299)  -0.01

***

No. 19
Entry from the Alexandria database: a relaxed KMgCd2Rh crystal (PBE-GGA).

Computed properties:
DFT total energy: -2.508 eV/atom
density of states at the Fermi level: 0.361 states/eV per atom
size of the total moment: 0.000 μB per cell

a = 5.306 Å, b = 5.306 Å, c = 5.001 Å
α = 90.00°, β = 90.00°, γ = 90.00°
Fractional positions:
K (0.500, 0.500, 0.500)
Rh (0.000, 0.000, 0.000)
Cd (0.000, 0.500, 0.000)
Mg (0.000, 0.000, 0.500)
Cd (0.500, 0.000, 0.000)

***

No. 20
Entry from the Alexandria database: a relaxed CdTc2Se crystal (PBE-GGA).

Computed properties:
DFT total energy: -5.931 eV/atom
formation energy (no corrections): 0.352 eV/atom
density of states at the Fermi level: 1.079 states/eV per atom
size of the total moment: 0.000 μB per cell

a = 4.542 Å, b = 2.988 Å, c = 5.238 Å
α = 90.04°, β = 90.00°, γ = 90.00°
Fractional positions:
Cd (0.000, 0.375, 0.510)
Tc (0.500, 0.375, 0.164)
Se (0.500, 0.875, 0.796)
Tc (0.000, 0.875, 0.030)

***

No. 21
Entry from the Alexandria database: a relaxed AcEr2Th crystal (PBE-GGA).

Computed properties:
DFT total energy: -5.034 eV/atom
density of states at the Fermi level: 1.545 states/eV per atom
size of the total moment: 0.000 μB per cell

a = 5.784 Å, b = 5.784 Å, c = 5.784 Å
α = 60.00°, β = 60.00°, γ = 60.00°
Fractional positions:
Er (0.250, 0.250, 0.250)
Th (0.000, 0.000, 0.000)
Ac (0.500, 0.500, 0.500)
Er (0.750, 0.750, 0.750)

***

No. 22
Entry from the Alexandria database: a relaxed SiAgSbI2 crystal (PBE-GGA).

Computed properties:
DFT total energy: -2.272 eV/atom
formation energy (no corrections): 0.827 eV/atom
density of states at the Fermi level: 1.130 states/eV per atom
size of the total moment: 0.000 μB per cell

a = 5.572 Å, b = 5.572 Å, c = 5.470 Å
α = 90.00°, β = 90.00°, γ = 90.00°
Fractional positions:
Si (0.500, 0.500, 0.500)
I (0.500, 0.000, 0.000)
Ag (0.000, 0.000, 0.000)
I (0.000, 0.500, 0.000)
Sb (0.000, 0.000, 0.500)

***

No. 23
Entry from the Alexandria database: a relaxed Dy5AgS8 crystal (PBE-GGA).

Computed properties:
DFT total energy: -6.032 eV/atom
formation energy (no corrections): -1.826 eV/atom
density of states at the Fermi level: 0.000 states/eV per atom
size of the total moment: 0.000 μB per cell

a = 7.219 Å, b = 7.219 Å, c = 7.219 Å
α = 109.58°, β = 109.58°, γ = 109.25°
Fractional positions:
S (0.118, 0.358, 0.613)
S (0.745, 0.505, 0.387)
S (0.642, 0.255, 0.760)
S (0.268, 0.020, 0.890)
Dy (0.871, 0.982, 0.617)
Dy (0.365, 0.254, 0.383)
S (0.495, 0.882, 0.240)
S (0.130, 0.378, 0.110)
Dy (0.018, 0.635, 0.888)
S (0.622, 0.732, 0.752)
Dy (0.746, 0.129, 0.112)
S (0.980, 0.870, 0.248)
Dy (0.500, 0.500, 0.000)
Ag (0.250, 0.750, 0.500)

***

No. 24
Entry from the Alexandria database: a relaxed Pr4HgTeSe2 crystal (PBE-GGA).

Computed properties:
DFT total energy: -5.085 eV/atom
formation energy (no corrections): -1.394 eV/atom
density of states at the Fermi level: 0.465 states/eV per atom
size of the total moment: 0.000 μB per cell

a = 4.304 Å, b = 7.686 Å, c = 7.613 Å
α = 71.60°, β = 90.00°, γ = 90.00°
Fractional positions:
Pr (0.000, 0.231, 0.260)
Hg (0.000, 0.500, 0.500)
Se (0.500, 0.000, 0.500)
Pr (0.500, 0.235, 0.754)
Pr (0.500, 0.765, 0.246)
Pr (0.000, 0.769, 0.740)
Se (0.000, 0.000, 0.000)
Te (0.500, 0.500, 0.000)

***

No. 25
Entry from the Alexandria database: a relaxed Pr2Bi6Pd crystal (PBE-GGA).

Computed properties:
DFT total energy: -4.606 eV/atom
density of states at the Fermi level: 0.534 states/eV per atom
size of the total moment: 0.000 μB per cell

a = 4.251 Å, b = 7.827 Å, c = 9.155 Å
α = 115.31°, β = 90.00°, γ = 90.00°
Fractional positions:
Bi (0.000, 0.798, 0.764)
Bi (0.500, 0.959, 0.555)
Bi (0.000, 0.249, 0.000)
Bi (0.500, 0.404, 0.445)
Pr (0.000, 0.317, 0.671)
Pr (0.000, 0.646, 0.329)
Pd (0.500, 0.983, 0.000)
Bi (0.000, 0.034, 0.236)
Bi (0.500, 0.610, 0.000)